Here is a geometry-optimized ZrTi3Rh structure from Alexandria. Energies are from PBEsol.

Properties
Its magnetization is 0.5 μB/f.u. As for the formation energy: 1.28 eV per atom.

a b c (Å): 4.5730 4.5730 4.5730
angles (deg): 90.00 90.00 90.00
Space group Pm-3m (No. 221)
Unique sites:
Zr (0.0000, 0.0000, 0.0000) x1
Ti (0.0000, 0.0000, 0.5000) x3
Rh (0.5000, 0.5000, 0.5000) x1